Material: ZrRuC2
Method: DFT, PBE
State: optimized geometry

Output
- E: -141.282 eV/cell
- Size of the total moment: 0.00 μB per formula unit
- DFT formation energy: 0.238 eV per atom
- Energy above the most stable polymorph in this dataset: 0 meV/atom
- Crystal system: tetragonal

```
data_ZrRuC2
_chemical_formula_sum 'Zr4 Ru4 C8'
_cell_length_a 4.6988
_cell_length_b 4.6988
_cell_length_c 10.1557
_cell_angle_alpha 90.00
_cell_angle_beta 90.00
_cell_angle_gamma 90.00
_space_group_name_H-M_alt 'I -4 2 d'
_space_group_IT_number 122
_space_group_name_Hall 'I -4 2bw'
loop_
_atom_site_label
_atom_site_fract_x
_atom_site_fract_y
_atom_site_fract_z
_atom_site_occupancy
Zr1 0.0000 0.0000 0.0000 1
Ru1 0.0000 0.0000 0.5000 1
C1 0.1993 0.2500 0.6250 1
```